1.
A plane-wave DFT calculation with PBE was carried out for a relaxed TmThTeRh crystal.

Results
E_form (uncorrected) in eV/atom: -1.0543

Cell: 4.146 4.146 22.350 Å, 90.00 90.00 120.00°
Sites, in units of the cell vectors:
Tm (0.000, 0.000, 0.000)
Tm (0.333, 0.667, 0.667)
Tm (0.667, 0.333, 0.333)
Th (0.000, 0.000, 0.801)
Th (0.333, 0.667, 0.468)
Th (0.667, 0.333, 0.134)
Te (0.000, 0.000, 0.238)
Te (0.333, 0.667, 0.905)
Te (0.667, 0.333, 0.571)
Rh (0.000, 0.000, 0.401)
Rh (0.333, 0.667, 0.068)
Rh (0.667, 0.333, 0.734)

2.
A plane-wave DFT calculation with PBE was carried out for a relaxed YThTeRh crystal.

Results
E_form (uncorrected) in eV/atom: -1.0591

Cell: 4.153 4.153 22.650 Å, 90.00 90.00 120.00°
Sites, in units of the cell vectors:
Y (0.000, 0.000, 0.000)
Y (0.333, 0.667, 0.667)
Y (0.667, 0.333, 0.333)
Th (0.000, 0.000, 0.803)
Th (0.333, 0.667, 0.469)
Th (0.667, 0.333, 0.136)
Te (0.000, 0.000, 0.238)
Te (0.333, 0.667, 0.905)
Te (0.667, 0.333, 0.572)
Rh (0.000, 0.000, 0.405)
Rh (0.333, 0.667, 0.071)
Rh (0.667, 0.333, 0.738)

3.
A plane-wave DFT calculation with PBE was carried out for a relaxed TiTeRh2 crystal.

Results
E_form (uncorrected) in eV/atom: -0.4514

Cell: 4.849 4.849 5.631 Å, 90.00 90.00 90.00°
Sites, in units of the cell vectors:
Ti (0.000, 0.000, 0.000)
Ti (0.500, 0.500, 0.500)
Te (0.000, 0.000, 0.494)
Te (0.500, 0.500, 0.994)
Rh (0.000, 0.500, 0.204)
Rh (0.000, 0.500, 0.704)
Rh (0.500, 0.000, 0.204)
Rh (0.500, 0.000, 0.704)

4.
A plane-wave DFT calculation with PBE was carried out for a relaxed TiTeRh2 crystal.

Results
E_form (uncorrected) in eV/atom: -0.4929

Cell: 5.032 4.437 6.615 Å, 90.00 100.85 90.00°
Sites, in units of the cell vectors:
Ti (0.192, 0.250, 0.162)
Ti (0.808, 0.750, 0.838)
Te (0.281, 0.750, 0.601)
Te (0.719, 0.250, 0.399)
Rh (0.112, 0.250, 0.776)
Rh (0.334, 0.750, 0.013)
Rh (0.666, 0.250, 0.987)
Rh (0.888, 0.750, 0.224)

5.
A plane-wave DFT calculation with PBE was carried out for a relaxed TiTe2Rh crystal.

Results
Polymorph energy (0 for the lowest one) in meV per atom: 0.0
E_form (uncorrected) in eV/atom: -0.5982

Cell: 8.339 6.438 8.131 Å, 90.00 116.67 90.00°
Sites, in units of the cell vectors:
Ti (0.018, 0.034, 0.312)
Ti (0.018, 0.466, 0.812)
Ti (0.982, 0.534, 0.188)
Ti (0.982, 0.966, 0.688)
Te (0.225, 0.245, 0.658)
Te (0.225, 0.255, 0.158)
Te (0.321, 0.748, 0.413)
Te (0.321, 0.752, 0.913)
Te (0.679, 0.248, 0.087)
Te (0.679, 0.252, 0.587)
Te (0.775, 0.745, 0.842)
Te (0.775, 0.755, 0.342)
Rh (0.114, 0.657, 0.566)
Rh (0.114, 0.843, 0.066)
Rh (0.886, 0.157, 0.934)
Rh (0.886, 0.343, 0.434)

6.
A plane-wave DFT calculation with PBE was carried out for a relaxed TiTeRh3 crystal.

Results
Polymorph energy (0 for the lowest one) in meV per atom: 385.4
E_form (uncorrected) in eV/atom: 0.8472

Cell: 4.770 4.770 4.770 Å, 90.00 90.00 90.00°
Sites, in units of the cell vectors:
Ti (0.000, 0.000, 0.000)
Te (0.500, 0.500, 0.500)
Rh (0.000, 0.500, 0.500)
Rh (0.500, 0.000, 0.500)
Rh (0.500, 0.500, 0.000)

7.
A plane-wave DFT calculation with PBE was carried out for a relaxed TiTe2Rh crystal.

Results
Polymorph energy (0 for the lowest one) in meV per atom: 258.6
E_form (uncorrected) in eV/atom: -0.3396

Cell: 3.834 3.834 20.239 Å, 90.00 90.00 120.00°
Sites, in units of the cell vectors:
Ti (0.000, 0.000, 0.000)
Ti (0.333, 0.667, 0.667)
Ti (0.667, 0.333, 0.333)
Te (0.000, 0.000, 0.575)
Te (0.000, 0.000, 0.749)
Te (0.333, 0.667, 0.242)
Te (0.333, 0.667, 0.416)
Te (0.667, 0.333, 0.083)
Te (0.667, 0.333, 0.909)
Rh (0.000, 0.000, 0.154)
Rh (0.333, 0.667, 0.821)
Rh (0.667, 0.333, 0.488)

8.
A plane-wave DFT calculation with PBE was carried out for a relaxed Ti2TeRh2 crystal.

Results
Polymorph energy (0 for the lowest one) in meV per atom: 0.0
E_form (uncorrected) in eV/atom: -0.5380

Cell: 7.539 7.539 3.002 Å, 90.00 90.00 90.00°
Sites, in units of the cell vectors:
Ti (0.156, 0.344, 0.000)
Ti (0.344, 0.844, 0.000)
Ti (0.656, 0.156, 0.000)
Ti (0.844, 0.656, 0.000)
Te (0.000, 0.000, 0.500)
Te (0.500, 0.500, 0.500)
Rh (0.134, 0.634, 0.500)
Rh (0.366, 0.134, 0.500)
Rh (0.634, 0.866, 0.500)
Rh (0.866, 0.366, 0.500)

9.
A plane-wave DFT calculation with PBE was carried out for a relaxed TiTe2Rh crystal.

Results
Polymorph energy (0 for the lowest one) in meV per atom: 522.8
E_form (uncorrected) in eV/atom: -0.0754

Cell: 3.467 3.467 26.477 Å, 90.00 90.00 120.00°
Sites, in units of the cell vectors:
Ti (0.000, 0.000, 0.000)
Ti (0.333, 0.667, 0.667)
Ti (0.667, 0.333, 0.333)
Te (0.000, 0.000, 0.404)
Te (0.000, 0.000, 0.596)
Te (0.333, 0.667, 0.071)
Te (0.333, 0.667, 0.263)
Te (0.667, 0.333, 0.737)
Te (0.667, 0.333, 0.929)
Rh (0.000, 0.000, 0.500)
Rh (0.333, 0.667, 0.167)
Rh (0.667, 0.333, 0.833)

10.
A plane-wave DFT calculation with PBE was carried out for a relaxed TiTeRh2 crystal.

Results
E_form (uncorrected) in eV/atom: -0.2009

Cell: 4.108 4.108 17.238 Å, 90.00 90.00 90.00°
Sites, in units of the cell vectors:
Ti (0.000, 0.000, 0.000)
Ti (0.000, 0.500, 0.250)
Ti (0.500, 0.000, 0.750)
Ti (0.500, 0.500, 0.500)
Te (0.000, 0.000, 0.500)
Te (0.000, 0.500, 0.750)
Te (0.500, 0.000, 0.250)
Te (0.500, 0.500, 0.000)
Rh (0.238, 0.250, 0.125)
Rh (0.250, 0.738, 0.375)
Rh (0.250, 0.762, 0.875)
Rh (0.262, 0.250, 0.625)
Rh (0.738, 0.750, 0.625)
Rh (0.750, 0.238, 0.875)
Rh (0.750, 0.262, 0.375)
Rh (0.762, 0.750, 0.125)

11.
A plane-wave DFT calculation with PBE was carried out for a relaxed TiTe2Rh crystal.

Results
Polymorph energy (0 for the lowest one) in meV per atom: 710.9
E_form (uncorrected) in eV/atom: 0.1127

Cell: 3.732 3.732 25.734 Å, 90.00 90.00 120.00°
Sites, in units of the cell vectors:
Ti (0.000, 0.000, 0.000)
Ti (0.333, 0.667, 0.667)
Ti (0.667, 0.333, 0.333)
Te (0.000, 0.000, 0.106)
Te (0.000, 0.000, 0.894)
Te (0.333, 0.667, 0.561)
Te (0.333, 0.667, 0.773)
Te (0.667, 0.333, 0.227)
Te (0.667, 0.333, 0.439)
Rh (0.000, 0.000, 0.500)
Rh (0.333, 0.667, 0.167)
Rh (0.667, 0.333, 0.833)

12.
A plane-wave DFT calculation with PBE was carried out for a relaxed TiTeRh2 crystal.

Results
E_form (uncorrected) in eV/atom: -0.4509

Cell: 5.668 4.179 5.702 Å, 90.00 98.82 90.00°
Sites, in units of the cell vectors:
Ti (0.000, 0.000, 0.000)
Ti (0.325, 0.500, 0.286)
Te (0.055, 0.000, 0.501)
Te (0.701, 0.500, 0.845)
Rh (0.233, 0.500, 0.810)
Rh (0.468, 0.000, 0.088)
Rh (0.542, 0.000, 0.566)
Rh (0.785, 0.500, 0.317)

13.
A plane-wave DFT calculation with PBE was carried out for a relaxed TiTeRh2 crystal.

Results
E_form (uncorrected) in eV/atom: -0.5201

Cell: 5.469 4.424 5.856 Å, 90.00 109.19 90.00°
Sites, in units of the cell vectors:
Ti (0.207, 0.250, 0.401)
Ti (0.793, 0.750, 0.599)
Te (0.187, 0.250, 0.891)
Te (0.813, 0.750, 0.109)
Rh (0.316, 0.750, 0.708)
Rh (0.329, 0.750, 0.232)
Rh (0.671, 0.250, 0.768)
Rh (0.684, 0.250, 0.292)

14.
A plane-wave DFT calculation with PBE was carried out for a relaxed TiTeRh2 crystal.

Results
E_form (uncorrected) in eV/atom: -0.4727

Cell: 4.719 5.622 5.890 Å, 105.03 113.02 93.34°
Sites, in units of the cell vectors:
Ti (0.000, 0.000, 0.000)
Ti (0.486, 0.531, 0.327)
Te (0.411, 0.664, 0.818)
Te (0.614, 0.079, 0.505)
Rh (0.036, 0.842, 0.393)
Rh (0.434, 0.174, 0.919)
Rh (0.965, 0.491, 0.926)
Rh (0.983, 0.337, 0.363)

15.
A plane-wave DFT calculation with PBE was carried out for a relaxed TiTeRh2 crystal.

Results
E_form (uncorrected) in eV/atom: -0.4649

Cell: 4.652 5.552 5.574 Å, 76.97 75.74 89.93°
Sites, in units of the cell vectors:
Ti (0.000, 0.000, 0.000)
Ti (0.191, 0.508, 0.284)
Te (0.058, 0.539, 0.798)
Te (0.622, 0.188, 0.491)
Rh (0.140, 0.978, 0.431)
Rh (0.518, 0.244, 0.977)
Rh (0.551, 0.771, 0.895)
Rh (0.663, 0.696, 0.378)

16.
A plane-wave DFT calculation with PBE was carried out for a relaxed TiTeRh2 crystal.

Results
E_form (uncorrected) in eV/atom: -0.5027

Cell: 4.825 4.647 6.275 Å, 90.00 98.61 90.00°
Sites, in units of the cell vectors:
Ti (0.000, 0.000, 0.000)
Ti (0.369, 0.500, 0.401)
Te (0.018, 0.000, 0.449)
Te (0.722, 0.500, 0.799)
Rh (0.269, 0.500, 0.986)
Rh (0.440, 0.000, 0.766)
Rh (0.490, 0.000, 0.229)
Rh (0.835, 0.500, 0.237)

17.
A plane-wave DFT calculation with PBE was carried out for a relaxed TiTeRh2 crystal.

Results
E_form (uncorrected) in eV/atom: -0.5100

Cell: 5.139 4.597 5.750 Å, 90.00 102.45 90.00°
Sites, in units of the cell vectors:
Ti (0.189, 0.250, 0.205)
Ti (0.811, 0.750, 0.795)
Te (0.208, 0.250, 0.708)
Te (0.792, 0.750, 0.292)
Rh (0.305, 0.750, 0.952)
Rh (0.325, 0.750, 0.442)
Rh (0.675, 0.250, 0.558)
Rh (0.695, 0.250, 0.048)

18.
A plane-wave DFT calculation with PBE was carried out for a relaxed TiTe3Rh crystal.

Results
Polymorph energy (0 for the lowest one) in meV per atom: 924.7
E_form (uncorrected) in eV/atom: 0.5151

Cell: 5.213 5.213 5.213 Å, 90.00 90.00 90.00°
Sites, in units of the cell vectors:
Ti (0.000, 0.000, 0.000)
Te (0.000, 0.000, 0.500)
Te (0.000, 0.500, 0.000)
Te (0.500, 0.000, 0.000)
Rh (0.500, 0.500, 0.500)

19.
A plane-wave DFT calculation with PBE was carried out for a relaxed TiTeRh3 crystal.

Results
Polymorph energy (0 for the lowest one) in meV per atom: 0.0
E_form (uncorrected) in eV/atom: 0.4619

Cell: 4.599 4.599 4.599 Å, 90.00 90.00 90.00°
Sites, in units of the cell vectors:
Ti (0.000, 0.000, 0.000)
Te (0.500, 0.500, 0.500)
Rh (0.000, 0.000, 0.500)
Rh (0.000, 0.500, 0.000)
Rh (0.500, 0.000, 0.000)

20.
A plane-wave DFT calculation with PBE was carried out for a relaxed TiTeRh2 crystal.

Results
E_form (uncorrected) in eV/atom: -0.4883

Cell: 11.391 4.676 5.528 Å, 90.00 107.18 90.00°
Sites, in units of the cell vectors:
Ti (0.000, 0.000, 0.000)
Ti (0.204, 0.500, 0.097)
Ti (0.500, 0.500, 0.000)
Ti (0.704, 0.000, 0.097)
Te (0.253, 0.500, 0.624)
Te (0.404, 0.000, 0.210)
Te (0.753, 0.000, 0.624)
Te (0.904, 0.500, 0.210)
Rh (0.004, 0.500, 0.804)
Rh (0.184, 0.000, 0.852)
Rh (0.188, 0.000, 0.351)
Rh (0.455, 0.500, 0.453)
Rh (0.504, 0.000, 0.804)
Rh (0.684, 0.500, 0.852)
Rh (0.688, 0.500, 0.351)
Rh (0.955, 0.000, 0.453)

21.
A plane-wave DFT calculation with PBE was carried out for a relaxed TiTeRh2 crystal.

Results
E_form (uncorrected) in eV/atom: -0.4488

Cell: 9.596 3.905 7.855 Å, 90.00 114.30 90.00°
Sites, in units of the cell vectors:
Ti (0.000, 0.000, 0.000)
Ti (0.181, 0.500, 0.580)
Ti (0.500, 0.500, 0.000)
Ti (0.681, 0.000, 0.580)
Te (0.262, 0.500, 0.139)
Te (0.430, 0.000, 0.705)
Te (0.762, 0.000, 0.139)
Te (0.930, 0.500, 0.705)
Rh (0.197, 0.000, 0.358)
Rh (0.229, 0.000, 0.861)
Rh (0.474, 0.500, 0.500)
Rh (0.479, 0.000, 0.221)
Rh (0.697, 0.500, 0.358)
Rh (0.729, 0.500, 0.861)
Rh (0.974, 0.000, 0.500)
Rh (0.979, 0.500, 0.221)

22.
A plane-wave DFT calculation with PBE was carried out for a relaxed TiTe2Rh crystal.

Results
Polymorph energy (0 for the lowest one) in meV per atom: 461.7
E_form (uncorrected) in eV/atom: -0.1365

Cell: 6.076 6.076 12.189 Å, 90.00 90.00 90.00°
Sites, in units of the cell vectors:
Ti (0.000, 0.000, 0.000)
Ti (0.000, 0.500, 0.250)
Ti (0.500, 0.000, 0.750)
Ti (0.500, 0.500, 0.500)
Te (0.238, 0.250, 0.625)
Te (0.250, 0.738, 0.875)
Te (0.250, 0.762, 0.375)
Te (0.262, 0.250, 0.125)
Te (0.738, 0.750, 0.125)
Te (0.750, 0.238, 0.375)
Te (0.750, 0.262, 0.875)
Te (0.762, 0.750, 0.625)
Rh (0.000, 0.000, 0.500)
Rh (0.000, 0.500, 0.750)
Rh (0.500, 0.000, 0.250)
Rh (0.500, 0.500, 0.000)

23.
A plane-wave DFT calculation with PBE was carried out for a relaxed TiTe3Rh crystal.

Results
Polymorph energy (0 for the lowest one) in meV per atom: 0.0
E_form (uncorrected) in eV/atom: -0.4096

Cell: 4.014 9.042 6.818 Å, 90.00 90.00 90.00°
Sites, in units of the cell vectors:
Ti (0.000, 0.000, 0.000)
Ti (0.000, 0.500, 0.500)
Te (0.000, 0.190, 0.321)
Te (0.000, 0.310, 0.821)
Te (0.000, 0.690, 0.821)
Te (0.000, 0.810, 0.321)
Te (0.500, 0.000, 0.736)
Te (0.500, 0.500, 0.236)
Rh (0.500, 0.000, 0.342)
Rh (0.500, 0.500, 0.842)

24.
A plane-wave DFT calculation with PBE was carried out for a relaxed TiTe3Rh crystal.

Results
Polymorph energy (0 for the lowest one) in meV per atom: 885.4
E_form (uncorrected) in eV/atom: 0.4759

Cell: 5.165 5.165 5.165 Å, 90.00 90.00 90.00°
Sites, in units of the cell vectors:
Ti (0.000, 0.000, 0.000)
Te (0.000, 0.500, 0.500)
Te (0.500, 0.000, 0.500)
Te (0.500, 0.500, 0.000)
Rh (0.500, 0.500, 0.500)

25.
A plane-wave DFT calculation with PBE was carried out for a relaxed TiTe2Rh crystal.

Results
Polymorph energy (0 for the lowest one) in meV per atom: 396.3
E_form (uncorrected) in eV/atom: -0.2019

Cell: 6.793 6.793 6.793 Å, 90.00 90.00 90.00°
Sites, in units of the cell vectors:
Ti (0.000, 0.000, 0.000)
Ti (0.000, 0.500, 0.500)
Ti (0.500, 0.000, 0.500)
Ti (0.500, 0.500, 0.000)
Te (0.250, 0.250, 0.250)
Te (0.250, 0.250, 0.750)
Te (0.250, 0.750, 0.250)
Te (0.250, 0.750, 0.750)
Te (0.750, 0.250, 0.250)
Te (0.750, 0.250, 0.750)
Te (0.750, 0.750, 0.250)
Te (0.750, 0.750, 0.750)
Rh (0.000, 0.000, 0.500)
Rh (0.000, 0.500, 0.000)
Rh (0.500, 0.000, 0.000)
Rh (0.500, 0.500, 0.500)

Result set for DOS at the Fermi energy: 2.175, 2.330, 1.599, 3.531, 13.046, 20.830, 11.145, 3.463, 13.816, 4.853, 19.543, 4.760, 3.555, 4.299, 4.254, 4.524, 3.035, 6.367, 4.523, 8.565, 7.321, 20.232, 6.696, 7.741, 14.085 states/eV/cell, one per record in the order listed.